Entry 1:
# KPrSO PBE relaxed
# - uncorrected energy (eV/atom) = -5.9469
data_KPrSO
_chemical_formula_sum 'K4 Pr4 S4 O4'
_space_group_name_H-M_alt 'P 1 21 1'
_space_group_IT_number 4
_space_group_name_Hall 'P 2yb'
_cell_length_a 5.901
_cell_length_b 5.893
_cell_length_c 11.416
_cell_angle_alpha 90.00
_cell_angle_beta 104.67
_cell_angle_gamma 90.00
loop_
_atom_site_label
_atom_site_type_symbol
_atom_site_fract_x
_atom_site_fract_y
_atom_site_fract_z
K1 K 0.048 0.000 0.100
K2 K 0.451 0.001 0.900
Pr1 Pr 0.052 0.260 0.605
Pr2 Pr 0.448 0.259 0.395
S1 S 0.097 0.500 0.200
S2 S 0.404 0.501 0.800
O1 O 0.250 0.010 0.500
O2 O 0.250 0.510 0.500



Entry 2:
# TlZnCoIr PBE relaxed
# - uncorrected energy (eV/atom) = -4.5823
data_TlZnCoIr
_chemical_formula_sum 'Tl4 Zn4 Co4 Ir4'
_space_group_name_H-M_alt 'F -4 3 m'
_space_group_IT_number 216
_space_group_name_Hall 'F -4 2 3'
_cell_length_a 6.259
_cell_length_b 6.259
_cell_length_c 6.259
_cell_angle_alpha 90.00
_cell_angle_beta 90.00
_cell_angle_gamma 90.00
loop_
_atom_site_label
_atom_site_type_symbol
_atom_site_fract_x
_atom_site_fract_y
_atom_site_fract_z
Tl1 Tl 0.000 0.000 0.000
Zn1 Zn 0.000 0.000 0.500
Co1 Co 0.250 0.250 0.250
Ir1 Ir 0.250 0.250 0.750



Entry 3:
# KErIn PBE relaxed
# - uncorrected energy (eV/atom) = -2.7912
data_KErIn
_chemical_formula_sum 'K4 Er4 In4'
_space_group_name_H-M_alt 'C m m m'
_space_group_IT_number 65
_space_group_name_Hall '-C 2 2'
_cell_length_a 4.691
_cell_length_b 17.516
_cell_length_c 4.827
_cell_angle_alpha 90.00
_cell_angle_beta 90.00
_cell_angle_gamma 90.00
loop_
_atom_site_label
_atom_site_type_symbol
_atom_site_fract_x
_atom_site_fract_y
_atom_site_fract_z
K1 K 0.000 0.000 0.000
K2 K 0.000 0.500 0.500
Er1 Er 0.000 0.183 0.500
In1 In 0.000 0.315 0.000



Entry 4:
# RbLuIr PBE relaxed
# - uncorrected energy (eV/atom) = -4.3224
data_RbLuIr
_chemical_formula_sum 'Rb4 Lu4 Ir4'
_space_group_name_H-M_alt 'F -4 3 m'
_space_group_IT_number 216
_space_group_name_Hall 'F -4 2 3'
_cell_length_a 6.992
_cell_length_b 6.992
_cell_length_c 6.992
_cell_angle_alpha 90.00
_cell_angle_beta 90.00
_cell_angle_gamma 90.00
loop_
_atom_site_label
_atom_site_type_symbol
_atom_site_fract_x
_atom_site_fract_y
_atom_site_fract_z
Rb1 Rb 0.000 0.000 0.000
Lu1 Lu 0.000 0.000 0.500
Ir1 Ir 0.250 0.250 0.750



Entry 5:
# Y2SiSnAu2 PBE relaxed
# - uncorrected energy (eV/atom) = -5.5657
data_Y2SiSnAu2
_chemical_formula_sum 'Y8 Si4 Sn4 Au8'
_space_group_name_H-M_alt 'P 1 m 1'
_space_group_IT_number 6
_space_group_name_Hall 'P -2y'
_cell_length_a 11.425
_cell_length_b 4.681
_cell_length_c 11.445
_cell_angle_alpha 90.00
_cell_angle_beta 109.43
_cell_angle_gamma 90.00
loop_
_atom_site_label
_atom_site_type_symbol
_atom_site_fract_x
_atom_site_fract_y
_atom_site_fract_z
Y1 Y 0.000 0.000 0.000
Y2 Y 0.120 0.500 0.370
Y3 Y 0.252 0.000 0.744
Y4 Y 0.386 0.500 0.123
Y5 Y 0.512 0.000 0.507
Y6 Y 0.632 0.500 0.878
Y7 Y 0.753 0.000 0.248
Y8 Y 0.879 0.500 0.630
Si1 Si 0.002 0.000 0.499
Si2 Si 0.505 0.000 0.999
Si3 Si 0.755 0.000 0.753
Si4 Si 0.876 0.500 0.124
Sn1 Sn 0.131 0.500 0.875
Sn2 Sn 0.255 0.000 0.250
Sn3 Sn 0.380 0.500 0.625
Sn4 Sn 0.632 0.500 0.377
Au1 Au 0.121 0.500 0.616
Au2 Au 0.262 0.000 0.998
Au3 Au 0.379 0.500 0.375
Au4 Au 0.511 0.000 0.760
Au5 Au 0.634 0.500 0.121
Au6 Au 0.765 0.000 0.506
Au7 Au 0.875 0.500 0.878
Au8 Au 0.996 0.000 0.248



Entry 6:
# HfCoSiNi PBE relaxed
# - uncorrected energy (eV/atom) = -7.3045
data_HfCoSiNi
_chemical_formula_sum 'Hf4 Co4 Si4 Ni4'
_space_group_name_H-M_alt 'F -4 3 m'
_space_group_IT_number 216
_space_group_name_Hall 'F -4 2 3'
_cell_length_a 5.995
_cell_length_b 5.995
_cell_length_c 5.995
_cell_angle_alpha 90.00
_cell_angle_beta 90.00
_cell_angle_gamma 90.00
loop_
_atom_site_label
_atom_site_type_symbol
_atom_site_fract_x
_atom_site_fract_y
_atom_site_fract_z
Hf1 Hf 0.000 0.000 0.000
Co1 Co 0.000 0.000 0.500
Si1 Si 0.250 0.250 0.250
Ni1 Ni 0.250 0.250 0.750



Entry 7:
# NaAcPu PBE relaxed
# - uncorrected energy (eV/atom) = -5.5451
data_NaAcPu
_chemical_formula_sum 'Na4 Ac4 Pu4'
_space_group_name_H-M_alt 'F -4 3 m'
_space_group_IT_number 216
_space_group_name_Hall 'F -4 2 3'
_cell_length_a 7.948
_cell_length_b 7.948
_cell_length_c 7.948
_cell_angle_alpha 90.00
_cell_angle_beta 90.00
_cell_angle_gamma 90.00
loop_
_atom_site_label
_atom_site_type_symbol
_atom_site_fract_x
_atom_site_fract_y
_atom_site_fract_z
Na1 Na 0.000 0.000 0.000
Ac1 Ac 0.250 0.250 0.250
Pu1 Pu 0.000 0.000 0.500



Entry 8:
# HoSnSb PBE relaxed
# - uncorrected energy (eV/atom) = -4.3254
data_HoSnSb
_chemical_formula_sum 'Ho6 Sn6 Sb6'
_space_group_name_H-M_alt 'R -3 m'
_space_group_IT_number 166
_space_group_name_Hall '-R 3 2"'
_cell_length_a 5.2570
_cell_length_b 5.2570
_cell_length_c 22.6197
_cell_angle_alpha 90.00
_cell_angle_beta 90.00
_cell_angle_gamma 120.00
loop_
_atom_site_label
_atom_site_type_symbol
_atom_site_fract_x
_atom_site_fract_y
_atom_site_fract_z
Ho1 Ho 0.0000 0.0000 0.1206
Sn1 Sn 0.0000 0.0000 0.2933
Sb1 Sb 0.0000 0.0000 0.4337



Entry 9:
# Pr2DySi4Ni4 PBE relaxed
# - uncorrected energy (eV/atom) = -6.0524
data_Pr2DySi4Ni4
_chemical_formula_sum 'Pr4 Dy2 Si8 Ni8'
_space_group_name_H-M_alt 'I m m m'
_space_group_IT_number 71
_space_group_name_Hall '-I 2 2'
_cell_length_a 4.037
_cell_length_b 4.069
_cell_length_c 23.635
_cell_angle_alpha 90.00
_cell_angle_beta 90.00
_cell_angle_gamma 90.00
loop_
_atom_site_label
_atom_site_type_symbol
_atom_site_fract_x
_atom_site_fract_y
_atom_site_fract_z
Pr1 Pr 0.000 0.000 0.148
Dy1 Dy 0.000 0.500 0.000
Si1 Si 0.000 0.000 0.301
Si2 Si 0.000 0.500 0.450
Ni1 Ni 0.000 0.000 0.403
Ni2 Ni 0.000 0.500 0.249



Entry 10:
# ZrSiB PBE relaxed
# - uncorrected energy (eV/atom) = -6.7718
data_ZrSiB
_chemical_formula_sum 'Zr4 Si4 B4'
_space_group_name_H-M_alt 'F -4 3 m'
_space_group_IT_number 216
_space_group_name_Hall 'F -4 2 3'
_cell_length_a 5.550
_cell_length_b 5.550
_cell_length_c 5.550
_cell_angle_alpha 90.00
_cell_angle_beta 90.00
_cell_angle_gamma 90.00
loop_
_atom_site_label
_atom_site_type_symbol
_atom_site_fract_x
_atom_site_fract_y
_atom_site_fract_z
Zr1 Zr 0.000 0.000 0.000
Si1 Si 0.000 0.000 0.500
B1 B 0.250 0.250 0.750



Entry 11:
# PrNd4In5 PBE relaxed
# - uncorrected energy (eV/atom) = -4.2476
data_PrNd4In5
_chemical_formula_sum 'Pr1 Nd4 In5'
_space_group_name_H-M_alt 'P 4/m m m'
_space_group_IT_number 123
_space_group_name_Hall '-P 4 2'
_cell_length_a 3.878
_cell_length_b 3.878
_cell_length_c 19.329
_cell_angle_alpha 90.00
_cell_angle_beta 90.00
_cell_angle_gamma 90.00
loop_
_atom_site_label
_atom_site_type_symbol
_atom_site_fract_x
_atom_site_fract_y
_atom_site_fract_z
Pr1 Pr 0.000 0.000 0.000
Nd1 Nd 0.000 0.000 0.201
Nd2 Nd 0.000 0.000 0.400
In1 In 0.500 0.500 0.102
In2 In 0.500 0.500 0.301
In3 In 0.500 0.500 0.500



Entry 12:
# SrAgTe3Ir PBE relaxed
# - uncorrected energy (eV/atom) = -4.2533
data_SrAgTe3Ir
_chemical_formula_sum 'Sr4 Ag4 Te12 Ir4'
_space_group_name_H-M_alt 'C m c m'
_space_group_IT_number 63
_space_group_name_Hall '-C 2c 2'
_cell_length_a 4.337
_cell_length_b 13.478
_cell_length_c 10.780
_cell_angle_alpha 90.00
_cell_angle_beta 90.00
_cell_angle_gamma 90.00
loop_
_atom_site_label
_atom_site_type_symbol
_atom_site_fract_x
_atom_site_fract_y
_atom_site_fract_z
Sr1 Sr 0.000 0.227 0.250
Ag1 Ag 0.000 0.454 0.750
Te1 Te 0.000 0.081 0.750
Te2 Te 0.000 0.372 0.518
Ir1 Ir 0.000 0.000 0.000



| no. | total magnetic moment (μB per formula unit) |
| --- | --- |
| 1 | 0.00 |
| 2 | 0.10 |
| 3 | 0.02 |
| 4 | 0.00 |
| 5 | 0.00 |
| 6 | 0.03 |
| 7 | 7.10 |
| 8 | 0.00 |
| 9 | 0.00 |
| 10 | 0.00 |
| 11 | 0.06 |
| 12 | 0.00 |